The following is a PBE with a Hubbard U calculation of Cr2RuO2 after structural relaxation, from Alexandria.

Summary:
magnetization = 1.27 μB/atom
raw total energy = -7.126 eV/atom
Fermi-level density of states = 3.63 states/eV/f.u.
E above lowest polymorph = 1.53 eV/f.u.

Geometry as CIF:
```
data_Cr2RuO2
_cell_length_a 6.3559
_cell_length_b 6.3559
_cell_length_c 3.0278
_cell_angle_alpha 90.00
_cell_angle_beta 90.00
_cell_angle_gamma 90.00
_space_group_name_H-M_alt 'P 4/m b m'
_space_group_IT_number 127
_space_group_name_Hall '-P 4 2ab'
loop_
_atom_site_label
_atom_site_fract_x
_atom_site_fract_y
_atom_site_fract_z
Cr1 0.1785 0.3215 0.0000
Ru1 0.0000 0.0000 0.5000
O1 0.1691 0.6691 0.5000
```